AlFeP4 | PBE | optimized geometry

a b c (Å): 7.0765 7.0765 7.0765
angles (deg): 90.00 90.00 90.00
With the nearest neighbours (Å) after each atom.
Space group F-43m (No. 216)
Inequivalent atoms, fractional coordinates:
Al1 0.0000 0.0000 0.0000 x4  12 P 2.94, 4 Fe 3.06
Fe1 0.2500 0.2500 0.7500 x4  12 P 2.93, 4 Al 3.06
P1 0.1242 0.1242 0.3758 x16  6 P 2.49-2.52

E	-4.9788	eV/atom
total moment	2.8	μB/f.u.
density of states at the Fermi level	3.02	states/eV/f.u.

Pm3Tm5 | PBE | optimized geometry

a b c (Å): 3.5471 3.5471 20.1073
angles (deg): 90.00 90.00 90.00
With the nearest neighbours (Å) after each atom.
Space group P4/mmm (No. 123)
Inequivalent atoms, fractional coordinates:
Pm1 0.0000 0.0000 0.0000 x1  4 Pm 3.55, 8 Tm 3.57
Pm2 0.5000 0.5000 0.3738 x2  4 Pm 3.55, 8 Tm 3.57
Tm1 0.0000 0.0000 0.2477 x2  8 Tm 3.50-3.55, 4 Pm 3.57
Tm2 0.0000 0.0000 0.5000 x1  4 Tm 3.55, 8 Pm 3.57
Tm3 0.5000 0.5000 0.1260 x2  8 Tm 3.50-3.55, 4 Pm 3.57

energy above the lowest structure with this stoichiometry	7	meV per atom
E	-4.5507	eV/atom
total moment	0.0	μB/f.u.
density of states at the Fermi level	11.46	states/eV/f.u.

Tb3Mg2Sc2 | PBE | optimized geometry

a b c (Å): 5.0784 22.4618 3.3927
angles (deg): 90.00 90.00 90.00
With the nearest neighbours (Å) after each atom.
Space group Cmmm (No. 65)
Inequivalent atoms, fractional coordinates:
Tb1 0.0000 0.0000 0.0000 x2  4 Tb 3.39-3.46, 8 Mg 3.46
Tb2 0.0000 0.1542 0.0000 x4  6 Sc 3.34-3.40, 3 Tb 3.39-3.46, 4 Mg 3.57
Mg1 0.0000 0.4277 0.5000 x4  1 Sc 3.20, 3 Mg 3.25-3.39, 8 Tb 3.46-3.57
Sc1 0.0000 0.2853 0.5000 x4  2 Sc 2.99, 1 Mg 3.20, 4 Tb 3.34

E	-4.2348	eV/atom
total moment	0.0	μB/f.u.
density of states at the Fermi level	8.35	states/eV/f.u.

LaPa2Al | PBE | optimized geometry

a b c (Å): 4.5348 4.5348 4.9088
angles (deg): 90.00 90.00 90.00
With the nearest neighbours (Å) after each atom.
Space group P4/mmm (No. 123)
Inequivalent atoms, fractional coordinates:
La1 0.0000 0.0000 0.0000 x1  4 Al 3.21, 8 Pa 3.34
Pa1 0.0000 0.5000 0.5000 x2  4 Pa 3.21, 4 La 3.34, 4 Al 3.34
Al1 0.5000 0.5000 0.0000 x1  4 La 3.21, 8 Pa 3.34

energy above the lowest structure with this stoichiometry	0	meV per atom
E	-6.8355	eV/atom
total moment	0.0	μB/f.u.
density of states at the Fermi level	8.18	states/eV/f.u.

NaSiTeO5 | PBE | optimized geometry

a b c (Å): 6.9453 8.8417 7.5213
angles (deg): 90.00 116.04 90.00
With the nearest neighbours (Å) after each atom.
Space group C2/c (No. 15)
Inequivalent atoms, fractional coordinates:
Na1 0.0000 0.1659 0.2500 x4  5 O 2.29-2.54
Si1 0.0000 0.1816 0.7500 x4  4 O 1.65-1.66
Te1 0.0000 0.5000 0.0000 x4  6 O 1.99-2.10
O1 0.0000 0.4247 0.2500 x4  2 Te 1.99
O2 0.1012 0.2864 0.6281 x8  1 Si 1.66
O3 0.1831 0.0656 0.9060 x8  1 Si 1.65

E	-6.1260	eV/atom
total moment	0.0	μB/f.u.
density of states at the Fermi level	0.03	states/eV/f.u.
energy relative to the elements, uncorrected	-1792	meV per atom

Pr5SmGa5 | PBE | optimized geometry

a b c (Å): 15.6944 5.8531 7.0250
angles (deg): 90.00 100.49 90.00
With the nearest neighbours (Å) after each atom.
Space group C2/m (No. 12)
Inequivalent atoms, fractional coordinates:
Pr1 0.0000 0.0000 0.0000 x2  4 Ga 2.95-3.12
Pr2 0.1408 0.5000 0.8976 x4  5 Ga 3.03-3.34
Pr3 0.1815 0.5000 0.4007 x4  5 Ga 3.05-3.20
Sm1 0.0000 0.0000 0.5000 x2  4 Ga 2.93-3.08
Ga1 0.0000 0.5000 0.5000 x2  2 Sm 2.93, 4 Pr 3.05-3.23
Ga2 0.1656 0.0000 0.8125 x4  1 Ga 2.79, 4 Pr 3.03-3.12, 1 Sm 3.08
Ga3 0.1800 0.0000 0.2142 x4  1 Ga 2.79, 2 Pr 2.95-3.05

E	-4.2943	eV/atom
total moment	0.0	μB/f.u.
density of states at the Fermi level	11.83	states/eV/f.u.